Below is TaAlCl2 after structural relaxation, with properties calculated at the PBE-GGA level.

Cell lengths 5.818, 5.818, 5.818 Å; angles 141.70, 141.70, 55.28 degrees
Element x y z (fractional)
Cl 0.000 0.000 0.000
Cl 0.250 0.750 0.500
Ta 0.500 0.500 0.000
Al 0.750 0.250 0.500

Space group: I-4m2 (119)

Below is Ta2AlCl after structural relaxation, with properties calculated at the PBE-GGA level.

Cell lengths 5.160, 5.160, 5.160 Å; angles 133.83, 133.83, 67.36 degrees
Element x y z (fractional)
Cl 0.750 0.250 0.500
Al 0.500 0.500 0.000
Ta 0.250 0.750 0.500
Ta 0.000 0.000 0.000

Space group: I-4m2 (119)

Across the entries above, formation energy (no corrections) takes the values 506, 523 meV per atom, respectively.
Across the entries above, energy relative to the lowest polymorph listed for this composition takes the values 1.290, 0.601 eV/atom, respectively.